1.
CeTmAlCu: optimized geometry, PBE.

Summary:
The density of states at the Fermi level is 7.81 states/eV/cell. The energy relative to the elements comes out at -0.20 eV per atom.

Unit cell a=5.043 b=5.043 c=5.043 alpha=60.00 beta=60.00 gamma=60.00
Last column: magnetic moment on the atom in μB.
Element x y z (fractional)
Tm 0.500 0.500 0.500  0.04
Cu 0.250 0.250 0.250  0.02
Ce 0.000 0.000 0.000  0.38
Al 0.750 0.750 0.750  -0.01

---

2.
BaPd: optimized geometry, PBE.

Summary:
The density of states at the Fermi level is 1.77 states/eV/cell. The energy relative to the elements comes out at -0.48 eV per atom.

Unit cell a=4.659 b=4.659 c=16.663 alpha=90.00 beta=90.00 gamma=120.00
Element x y z (fractional)
Ba 0.667 0.333 0.870
Ba 0.333 0.667 0.370
Ba 0.333 0.667 0.130
Ba 0.667 0.333 0.630
Pd 0.000 0.000 0.750
Pd 0.000 0.000 0.250
Pd 0.667 0.333 0.250
Pd 0.333 0.667 0.750

---

3.
GeBi2HF: optimized geometry, PBE.

Summary:
The density of states at the Fermi level is 3.30 states/eV/cell. The total DFT energy (no corrections) comes out at -0.1218 Ha/atom.

Unit cell a=5.714 b=3.938 c=5.714 alpha=90.00 beta=90.00 gamma=90.00
Last column: magnetic moment on the atom in μB.
Element x y z (fractional)
H 0.500 0.500 0.500  0.14
Ge 0.000 0.000 0.000  -0.01
Bi 0.000 0.000 0.500  -0.02
Bi 0.500 0.000 0.000  0.00
F 0.000 0.500 0.000  0.00

---

4.
Ca2Ga3SbAu4: optimized geometry, PBE.

Summary:
The density of states at the Fermi level is 4.48 states/eV/cell. The value obtained for the formation energy from raw total energies is -0.5216 eV per atom.

Unit cell a=4.493 b=4.493 c=11.004 alpha=90.00 beta=90.00 gamma=90.00
Element x y z (fractional)
Ca 0.500 0.000 0.234
Ca 0.000 0.500 0.766
Ga 0.000 0.000 0.500
Ga 0.500 0.000 0.879
Ga 0.000 0.500 0.121
Sb 0.500 0.500 0.500
Au 0.500 0.500 0.000
Au 0.000 0.000 0.000
Au 0.500 0.000 0.652
Au 0.000 0.500 0.348